LaCrPO6 (GGA+U, optimized geometry); volume = 11.92 Å³/atom; energy = -7.63 eV per atom
1.0
-3.592 2.589 -2.247
-4.675 -0.716 1.162
0.238 3.718 3.571
Cr O P La
1 6 1 1
direct
0.674 0.652 0.500
0.606 0.033 0.309
0.365 0.607 0.307
0.360 0.033 0.691
0.028 0.607 0.693
0.595 0.374 0.699
0.031 0.374 0.301
0.333 0.335 0.500
0.007 0.985 0.000